1.
A geometry-optimized RuBr2 structure. Source: the Alexandria database, functional PBE.

Cell lengths 12.8391, 3.6828, 9.2824 Å; angles 90.00, 130.74, 90.00 degrees
Fractional coordinates of all 12 atoms:
Ru  0.0691  0.0000  0.4533
Ru  0.4309  0.5000  0.5467
Ru  0.5691  0.5000  0.4533
Ru  0.9309  0.0000  0.5467
Br  0.0481  0.5000  0.7888
Br  0.2362  0.5000  0.6663
Br  0.2638  0.0000  0.3337
Br  0.4519  0.0000  0.2112
Br  0.5481  0.0000  0.7888
Br  0.7362  0.0000  0.6663
Br  0.7638  0.5000  0.3337
Br  0.9519  0.5000  0.2112

The calculation puts the total DFT energy (no corrections) at -51.10 eV/cell. The total magnetization comes out at 1.02 μB per formula unit.


2.
A geometry-optimized VPt2Br structure. Source: the Alexandria database, functional PBE.

Cell lengths 6.4619, 6.4619, 8.4743 Å; angles 90.00, 90.00, 90.00 degrees
Fractional coordinates of all 16 atoms:
V  0.0000  0.0000  0.0000
V  0.0000  0.5000  0.2500
V  0.5000  0.0000  0.7500
V  0.5000  0.5000  0.5000
Pt  0.2090  0.2500  0.1250
Pt  0.2500  0.7090  0.3750
Pt  0.2500  0.7910  0.8750
Pt  0.2910  0.2500  0.6250
Pt  0.7090  0.7500  0.6250
Pt  0.7500  0.2090  0.8750
Pt  0.7500  0.2910  0.3750
Pt  0.7910  0.7500  0.1250
Br  0.0000  0.0000  0.5000
Br  0.0000  0.5000  0.7500
Br  0.5000  0.0000  0.2500
Br  0.5000  0.5000  0.0000

The calculation puts the total DFT energy (no corrections) at -86.01 eV/cell. The total magnetization comes out at 0.00 μB per formula unit.


3.
A geometry-optimized Hf2Ga3Mo structure. Source: the Alexandria database, functional PBE.

Cell lengths 7.2321, 7.2321, 4.9442 Å; angles 90.00, 90.00, 62.82 degrees
Fractional coordinates of all 12 atoms:
Hf  0.0526  0.6782  0.7500
Hf  0.3218  0.9474  0.7500
Hf  0.6782  0.0526  0.2500
Hf  0.9474  0.3218  0.2500
Ga  0.1120  0.8880  0.2500
Ga  0.3043  0.3043  0.0000
Ga  0.3043  0.3043  0.5000
Ga  0.6957  0.6957  0.0000
Ga  0.6957  0.6957  0.5000
Ga  0.8880  0.1120  0.7500
Mo  0.4574  0.5426  0.2500
Mo  0.5426  0.4574  0.7500

The calculation puts the calculated formation energy at -5.71 kJ/mol of atoms. The total magnetization comes out at 0.00 μB per formula unit.


4.
A geometry-optimized HfMg2InSn structure. Source: the Alexandria database, functional PBE.

Cell lengths 5.7255, 5.7255, 5.4736 Å; angles 90.00, 90.00, 90.00 degrees
Fractional coordinates of all 5 atoms:
Hf  0.0000  0.0000  0.0000
Mg  0.0000  0.5000  0.0000
Mg  0.5000  0.0000  0.0000
In  0.5000  0.5000  0.5000
Sn  0.0000  0.0000  0.5000

The calculation puts the calculated formation energy at 73.26 kJ/mol of atoms. The total magnetization comes out at 0.70 μB per formula unit.


5.
A geometry-optimized Ta2RhBr structure. Source: the Alexandria database, functional PBE.

Cell lengths 3.0061, 3.0061, 26.7659 Å; angles 90.00, 90.00, 120.00 degrees
Fractional coordinates of all 12 atoms:
Ta  0.0000  0.0000  0.2480
Ta  0.0000  0.0000  0.7520
Ta  0.3333  0.6667  0.4187
Ta  0.3333  0.6667  0.9147
Ta  0.6667  0.3333  0.0853
Ta  0.6667  0.3333  0.5813
Rh  0.0000  0.0000  0.5000
Rh  0.3333  0.6667  0.1667
Rh  0.6667  0.3333  0.8333
Br  0.0000  0.0000  0.0000
Br  0.3333  0.6667  0.6667
Br  0.6667  0.3333  0.3333

The calculation puts the total DFT energy (no corrections) at -96.21 eV/cell. The total magnetization comes out at 0.00 μB per formula unit.


6.
A geometry-optimized Ca2ErPuAs4 structure. Source: the Alexandria database, functional PBE.

Cell lengths 7.1789, 4.1908, 7.2349 Å; angles 90.00, 109.51, 90.00 degrees
Fractional coordinates of all 8 atoms:
Ca  0.0000  0.0000  0.0000
Ca  0.5000  0.5000  0.0000
Er  0.0000  0.5000  0.5000
Pu  0.5000  0.0000  0.5000
As  0.2492  0.0000  0.7316
As  0.2602  0.5000  0.2704
As  0.7398  0.5000  0.7296
As  0.7508  0.0000  0.2684

The calculation puts the calculated formation energy at -108.64 kJ/mol of atoms. The total magnetization comes out at 3.45 μB per formula unit.


7.
A geometry-optimized KFe2Os structure. Source: the Alexandria database, functional PBE.

Cell lengths 2.6103, 5.6293, 10.6176 Å; angles 90.00, 90.00, 90.00 degrees
Fractional coordinates of all 8 atoms:
K  0.0000  0.0000  0.0000
K  0.5000  0.5000  0.5000
Fe  0.0000  0.5000  0.2022
Fe  0.0000  0.5000  0.7978
Fe  0.5000  0.0000  0.2978
Fe  0.5000  0.0000  0.7022
Os  0.0000  0.0000  0.5000
Os  0.5000  0.5000  0.0000

The calculation puts the calculated formation energy at 114.54 kJ/mol of atoms. The total magnetization comes out at 5.98 μB per formula unit.


8.
A geometry-optimized PH2Ru structure. Source: the Alexandria database, functional PBE.

Cell lengths 6.2727, 2.9090, 5.9093 Å; angles 90.00, 115.12, 90.00 degrees
Fractional coordinates of all 8 atoms:
P  0.0000  0.0000  0.0000
P  0.5000  0.5000  0.0000
H  0.0730  0.5000  0.5739
H  0.1175  0.0000  0.2687
H  0.5730  0.0000  0.5739
H  0.6175  0.5000  0.2687
Ru  0.2089  0.0000  0.7788
Ru  0.7089  0.5000  0.7788

The calculation puts the total DFT energy (no corrections) at -42.64 eV/cell. The total magnetization comes out at 0.00 μB per formula unit.


9.
A geometry-optimized Tb12Sm5Tl2 structure. Source: the Alexandria database, functional PBE.

Cell lengths 9.0473, 9.0473, 8.3953 Å; angles 91.97, 91.97, 62.55 degrees
Fractional coordinates of all 19 atoms:
Tb  0.0533  0.0533  0.3210
Tb  0.0684  0.6808  0.3390
Tb  0.1684  0.5366  0.7642
Tb  0.3192  0.9316  0.6610
Tb  0.4183  0.4183  0.1172
Tb  0.4634  0.8316  0.2358
Tb  0.5366  0.1684  0.7642
Tb  0.5817  0.5817  0.8828
Tb  0.6808  0.0684  0.3390
Tb  0.8316  0.4634  0.2358
Tb  0.9316  0.3192  0.6610
Tb  0.9467  0.9467  0.6790
Sm  0.1891  0.1891  0.0058
Sm  0.2661  0.2661  0.4183
Sm  0.5000  0.5000  0.5000
Sm  0.7339  0.7339  0.5817
Sm  0.8109  0.8109  0.9942
Tl  0.1863  0.8137  0.0000
Tl  0.8137  0.1863  0.0000

The calculation puts the calculated formation energy at 1.48 kJ/mol of atoms. The total magnetization comes out at 0.00 μB per formula unit.


10.
A geometry-optimized Ta4AlNi structure. Source: the Alexandria database, functional PBE.

Cell lengths 6.3344, 6.3344, 4.9763 Å; angles 90.00, 90.00, 90.00 degrees
Fractional coordinates of all 12 atoms:
Ta  0.1444  0.3323  0.0000
Ta  0.1444  0.6677  0.5000
Ta  0.3323  0.1444  0.5000
Ta  0.3323  0.8556  0.0000
Ta  0.6677  0.1444  0.0000
Ta  0.6677  0.8556  0.5000
Ta  0.8556  0.3323  0.5000
Ta  0.8556  0.6677  0.0000
Al  0.5000  0.5000  0.2500
Al  0.5000  0.5000  0.7500
Ni  0.0000  0.0000  0.2500
Ni  0.0000  0.0000  0.7500

The calculation puts the calculated formation energy at -19.37 kJ/mol of atoms. The total magnetization comes out at 0.00 μB per formula unit.


11.
A geometry-optimized AlOs2Pt structure. Source: the Alexandria database, functional PBE.

Cell lengths 2.7785, 4.5636, 4.6735 Å; angles 90.00, 90.00, 90.00 degrees
Fractional coordinates of all 4 atoms:
Al  0.0000  0.0000  0.0000
Os  0.0000  0.5000  0.5000
Os  0.5000  0.0000  0.5000
Pt  0.5000  0.5000  0.0000

The calculation puts the calculated formation energy at 1.15 kJ/mol of atoms. The total magnetization comes out at 0.00 μB per formula unit.


12.
A geometry-optimized Pm4Er4Sc structure. Source: the Alexandria database, functional PBE.

Cell lengths 6.8466, 6.8466, 8.2840 Å; angles 111.03, 111.03, 55.79 degrees
Fractional coordinates of all 9 atoms:
Pm  0.1518  0.3139  0.8775
Pm  0.2282  0.2282  0.4051
Pm  0.6861  0.8482  0.1225
Pm  0.7718  0.7718  0.5949
Er  0.3149  0.6136  0.2995
Er  0.3864  0.6851  0.7005
Er  0.6800  0.3200  0.0000
Er  0.8190  0.1810  0.5000
Sc  0.1536  0.8464  0.0000

The calculation puts the calculated formation energy at 16.44 kJ/mol of atoms. The total magnetization comes out at 0.00 μB per formula unit.


13.
A geometry-optimized Hf5Si structure. Source: the Alexandria database, functional PBE.

Cell lengths 4.2717, 13.6675, 4.2055 Å; angles 90.00, 90.00, 90.00 degrees
Fractional coordinates of all 12 atoms:
Hf  0.0000  0.0000  0.0000
Hf  0.0000  0.1656  0.5000
Hf  0.0000  0.3389  0.0000
Hf  0.0000  0.6611  0.0000
Hf  0.0000  0.8344  0.5000
Hf  0.5000  0.1611  0.0000
Hf  0.5000  0.3344  0.5000
Hf  0.5000  0.5000  0.0000
Hf  0.5000  0.6656  0.5000
Hf  0.5000  0.8389  0.0000
Si  0.0000  0.5000  0.5000
Si  0.5000  0.0000  0.5000

The calculation puts the total DFT energy (no corrections) at -112.26 eV/cell. The total magnetization comes out at 0.00 μB per formula unit.


14.
A geometry-optimized MoH2 structure. Source: the Alexandria database, functional PBE.

Cell lengths 2.9109, 2.9109, 4.8598 Å; angles 90.00, 90.00, 90.00 degrees
Fractional coordinates of all 6 atoms:
Mo  0.0000  0.0000  0.0000
Mo  0.5000  0.5000  0.5000
H  0.0000  0.0000  0.3685
H  0.0000  0.0000  0.6315
H  0.5000  0.5000  0.1315
H  0.5000  0.5000  0.8685

The calculation puts the total DFT energy (no corrections) at -32.99 eV/cell. The total magnetization comes out at 0.00 μB per formula unit.


15.
A geometry-optimized Er7Os2Ru2 structure. Source: the Alexandria database, functional PBE.

Cell lengths 6.4310, 6.4310, 6.8311 Å; angles 90.00, 90.00, 106.39 degrees
Fractional coordinates of all 11 atoms:
Er  0.0000  0.0000  0.0000
Er  0.0000  0.5000  0.2728
Er  0.0000  0.5000  0.7272
Er  0.5000  0.0000  0.2728
Er  0.5000  0.0000  0.7272
Er  0.5000  0.5000  0.2571
Er  0.5000  0.5000  0.7429
Os  0.2864  0.7136  0.0000
Os  0.7136  0.2864  0.0000
Ru  0.1687  0.1687  0.5000
Ru  0.8313  0.8313  0.5000

The calculation puts the calculated formation energy at -5.24 kJ/mol of atoms. The total magnetization comes out at 0.00 μB per formula unit.


16.
A geometry-optimized V5CrRu4 structure. Source: the Alexandria database, functional PBE.

Cell lengths 2.9732, 2.9732, 15.1227 Å; angles 90.00, 90.00, 90.00 degrees
Fractional coordinates of all 10 atoms:
V  0.0000  0.0000  0.0000
V  0.0000  0.0000  0.2043
V  0.0000  0.0000  0.4086
V  0.0000  0.0000  0.5914
V  0.0000  0.0000  0.7957
Cr  0.5000  0.5000  0.5000
Ru  0.5000  0.5000  0.0999
Ru  0.5000  0.5000  0.3031
Ru  0.5000  0.5000  0.6969
Ru  0.5000  0.5000  0.9001

The calculation puts the calculated formation energy at -24.61 kJ/mol of atoms. The total magnetization comes out at 0.01 μB per formula unit.


17.
A geometry-optimized SrLaAgHg structure. Source: the Alexandria database, functional PBE.

Cell lengths 7.8072, 7.8072, 7.8072 Å; angles 90.00, 90.00, 90.00 degrees
Fractional coordinates of all 16 atoms:
Sr  0.0000  0.0000  0.0000
Sr  0.0000  0.5000  0.5000
Sr  0.5000  0.0000  0.5000
Sr  0.5000  0.5000  0.0000
La  0.0000  0.0000  0.5000
La  0.0000  0.5000  0.0000
La  0.5000  0.0000  0.0000
La  0.5000  0.5000  0.5000
Ag  0.2500  0.2500  0.2500
Ag  0.2500  0.7500  0.7500
Ag  0.7500  0.2500  0.7500
Ag  0.7500  0.7500  0.2500
Hg  0.2500  0.2500  0.7500
Hg  0.2500  0.7500  0.2500
Hg  0.7500  0.2500  0.2500
Hg  0.7500  0.7500  0.7500

The calculation puts the calculated formation energy at -36.23 kJ/mol of atoms. The total magnetization comes out at 0.00 μB per formula unit.


18.
A geometry-optimized SmDy2Y3Te6 structure. Source: the Alexandria database, functional PBE.

Cell lengths 9.7748, 9.7748, 8.7901 Å; angles 102.81, 102.81, 25.75 degrees
Fractional coordinates of all 12 atoms:
Sm  0.0000  0.0000  0.0000
Dy  0.3351  0.3351  0.6694
Dy  0.6649  0.6649  0.3306
Y  0.0000  0.0000  0.5000
Y  0.3367  0.3367  0.1667
Y  0.6633  0.6633  0.8333
Te  0.1678  0.1678  0.5830
Te  0.1698  0.1698  0.0855
Te  0.4990  0.4990  0.7447
Te  0.5010  0.5010  0.2553
Te  0.8302  0.8302  0.9145
Te  0.8322  0.8322  0.4170

The calculation puts the total DFT energy (no corrections) at -67.91 eV/cell. The total magnetization comes out at 0.00 μB per formula unit.


19.
A geometry-optimized BaSrCo2 structure. Source: the Alexandria database, functional PBE.

Cell lengths 7.4937, 7.4937, 7.4937 Å; angles 90.00, 90.00, 90.00 degrees
Fractional coordinates of all 16 atoms:
Ba  0.0000  0.0000  0.0000
Ba  0.0000  0.5000  0.5000
Ba  0.5000  0.0000  0.5000
Ba  0.5000  0.5000  0.0000
Sr  0.0000  0.0000  0.5000
Sr  0.0000  0.5000  0.0000
Sr  0.5000  0.0000  0.0000
Sr  0.5000  0.5000  0.5000
Co  0.2500  0.2500  0.2500
Co  0.2500  0.2500  0.7500
Co  0.2500  0.7500  0.2500
Co  0.2500  0.7500  0.7500
Co  0.7500  0.2500  0.2500
Co  0.7500  0.2500  0.7500
Co  0.7500  0.7500  0.2500
Co  0.7500  0.7500  0.7500

The calculation puts the calculated formation energy at 69.64 kJ/mol of atoms. The total magnetization comes out at 2.20 μB per formula unit.


20.
A geometry-optimized HoLuBeAg structure. Source: the Alexandria database, functional PBE.

Cell lengths 6.9951, 6.9951, 6.9951 Å; angles 90.00, 90.00, 90.00 degrees
Fractional coordinates of all 16 atoms:
Ho  0.0000  0.0000  0.0000
Ho  0.0000  0.5000  0.5000
Ho  0.5000  0.0000  0.5000
Ho  0.5000  0.5000  0.0000
Lu  0.0000  0.0000  0.5000
Lu  0.0000  0.5000  0.0000
Lu  0.5000  0.0000  0.0000
Lu  0.5000  0.5000  0.5000
Be  0.2500  0.2500  0.7500
Be  0.2500  0.7500  0.2500
Be  0.7500  0.2500  0.2500
Be  0.7500  0.7500  0.7500
Ag  0.2500  0.2500  0.2500
Ag  0.2500  0.7500  0.7500
Ag  0.7500  0.2500  0.7500
Ag  0.7500  0.7500  0.2500

The calculation puts the calculated formation energy at -7.84 kJ/mol of atoms. The total magnetization comes out at 0.00 μB per formula unit.